This record from the Alexandria database describes FePtSe2 after structural relaxation. The functional is PBE.

POSCAR file:
```
FePtSe2
1.0
-1.881 1.404 -2.491
-1.029 -3.114 -0.978
-5.223 0.414 4.177
Fe Se Pt
1 2 1
Cartesian
-2.711 0.215 2.168
-3.343 -0.706 -0.224
-4.603 0.365 3.681
-5.310 -0.550 1.349
```

Results
ΔE_f (raw) = -0.021 eV per atom
density of states at the Fermi level = 4.690 states/eV/f.u.
volume = 19.617 Å³ per atom

This record from the Alexandria database describes Li2SmTmSi2 after structural relaxation. The functional is PBE.

POSCAR file:
```
Li2SmTmSi2
1.0
-0.367 -3.654 2.399
2.898 0.184 -3.287
4.976 2.471 4.525
Li Sm Si Tm
2 1 2 1
Cartesian
2.116 -1.682 1.772
5.391 0.683 1.865
0.000 0.000 0.000
3.115 -0.447 -0.205
4.393 -0.551 3.842
2.488 1.236 2.263
```

Results
ΔE_f (raw) = -0.560 eV per atom
density of states at the Fermi level = 1.351 states/eV/f.u.
volume = 19.896 Å³ per atom

This record from the Alexandria database describes Mg4InAg7 after structural relaxation. The functional is PBE.

POSCAR file:
```
Mg4InAg7
1.0
5.116 0.000 0.000
2.558 9.158 -0.190
2.558 0.244 5.278
Ag In Mg
7 1 4
Cartesian
5.116 4.934 3.935
2.558 0.000 0.000
7.674 8.518 2.490
7.674 3.419 3.906
5.116 4.468 1.153
2.558 5.983 1.182
2.558 0.884 2.598
0.000 0.000 0.000
5.116 2.227 2.971
2.558 3.040 0.887
7.674 6.362 4.201
5.116 7.175 2.116
```

Results
density of states at the Fermi level = 3.422 states/eV/f.u.
volume = 20.624 Å³ per atom
raw total energy = -2.453 eV per atom

This record from the Alexandria database describes CsAs2CSe after structural relaxation. The functional is PBE.

POSCAR file:
```
CsAs2CSe
1.0
-5.827 -0.771 1.030
1.282 -3.871 4.357
0.105 4.451 3.924
As Cs C Se
2 1 1 1
Cartesian
-2.914 -0.385 0.515
0.641 -1.936 2.178
0.000 0.000 0.000
-2.220 -0.096 4.656
0.053 2.226 1.962
```

Results
ΔE_f (raw) = 2.999 eV per atom
density of states at the Fermi level = 9.843 states/eV/f.u.
volume = 42.272 Å³ per atom

Among the records above, which one has the lowest density of states at the Fermi level? Li2SmTmSi2

Which of these has the lowest density of states at the Fermi level? Li2SmTmSi2